# 1
SmAg2Pd: relaxed, PBE-GGA.

For the energy of formation, the calculation gives -0.410 eV per atom. The calculation puts the energy above the most stable polymorph in this dataset at 0.000 eV/atom.

The space group is P2_1/m (No. 11) and the conventional cell measures 4.334, 7.854 and 5.418 Å, with angles of 90.00, 113.56 and 90.00 degrees. Symmetry generates all atoms from Sm at (0.069, 0.250, 0.138), Ag at (0.364, 0.056, 0.729) and Pd at (0.225, 0.750, 0.448).



# 2
PmY4Sc5: relaxed, PBE-GGA.

For the energy of formation, the calculation gives 0.237 eV per atom.

The space group is I4mm (No. 107) and the conventional cell measures 10.154, 10.154 and 5.680 Å, with angles of 90.00, 90.00 and 90.00 degrees. Symmetry generates all atoms from Pm at (0.000, 0.000, 0.000), Y at (0.000, 0.321, 0.259), Sc at (0.000, 0.000, 0.477) and Sc at (0.189, 0.189, 0.728).



What is the formula in the second record?
PmY4Sc5



Which value of energy of formation does entry 1 give?
-0.410 eV per atom



Which formula does entry 1 have?
SmAg2Pd